# CuHgCl2 (PBE, relaxed)
data_CuHgCl2
_cell_length_a 12.0311
_cell_length_b 3.2733
_cell_length_c 6.2396
_cell_angle_alpha 90.00
_cell_angle_beta 106.29
_cell_angle_gamma 90.00
_space_group_name_H-M_alt 'C 1 m 1'
_space_group_IT_number 8
_space_group_name_Hall 'C -2y'
loop_
_atom_site_label
_atom_site_type_symbol
_atom_site_fract_x
_atom_site_fract_y
_atom_site_fract_z
_atom_site_occupancy
Cu1 Cu 0.0000 0.0000 0.0000 1
Hg1 Hg 0.2769 0.5000 0.5794 1
Cl1 Cl 0.0883 0.5000 0.8494 1
Cl2 Cl 0.4226 0.0000 0.1663 1
# Calculated density (g/cm3): 4.718
# Polymorph energy (0 for the lowest one) (meV/atom): 2
# Fermi-level density of states (states/eV/f.u.): 2.514
# Uncorrected formation energy (kJ per mole of atoms): -35.5